Model 1:
First-principles (meta-GGA SCAN) data for a crystal of Mo2RhCl relaxed with PBEsol, as listed in Alexandria.

```
Mo2RhCl
1.0
-2.445 -3.534 -0.523
-0.602 -2.724 3.310
-3.873 -0.255 1.916
Cl Mo Rh
1 2 1
direct
0.000 0.000 0.000
0.250 0.250 0.250
0.750 0.750 0.750
0.500 0.500 0.500
```

Calculated values
The space group is No. 225. The density is 9.56 g cm⁻³.

---

Model 2:
First-principles (meta-GGA SCAN) data for a crystal of Mo2RhCl relaxed with PBEsol, as listed in Alexandria.

```
Mo2RhCl
1.0
2.828 0.000 0.000
0.000 2.828 0.000
0.000 0.000 7.522
Mo Rh Cl
2 1 1
direct
0.000 0.000 0.986
0.500 0.500 0.257
0.000 0.000 0.482
0.500 0.500 0.775
```

Calculated values
The space group is No. 99. The density is 9.12 g cm⁻³.

---

Model 3:
First-principles (meta-GGA SCAN) data for a crystal of Mo2RhCl relaxed with PBEsol, as listed in Alexandria.

```
Mo2RhCl
1.0
2.774 0.000 0.000
0.000 4.530 0.000
0.000 0.000 4.530
Cl Mo Rh
1 2 1
direct
0.500 0.000 0.000
0.000 0.500 0.000
0.000 0.000 0.500
0.500 0.500 0.500
```

Calculated values
The space group is No. 123. The density is 9.63 g cm⁻³.

---

Each structure's energy above the most stable one, in meV/atom: model 1 416; model 2 0; model 3 301.

---

Model 1:
First-principles (meta-GGA SCAN) data for a crystal of SbMoCl relaxed with PBEsol, as listed in Alexandria.

```
SbMoCl
1.0
3.212 0.000 0.000
-1.606 2.782 0.000
0.000 0.000 7.254
Sb Cl Mo
1 1 1
direct
0.667 0.333 0.403
0.000 0.000 0.907
0.333 0.667 0.690
```

Calculated values
The space group is No. 156. The density is 6.48 g cm⁻³.

---

Model 2:
First-principles (meta-GGA SCAN) data for a crystal of SbMoCl relaxed with PBEsol, as listed in Alexandria.

```
SbMoCl
1.0
3.134 0.000 0.000
0.000 4.445 0.000
0.000 -2.222 3.849
Mo Cl Sb
1 1 1
direct
0.000 0.667 0.333
0.000 0.000 0.000
0.500 0.333 0.667
```

Calculated values
The space group is No. 187. The density is 7.84 g cm⁻³.

---

Each structure's energy above the most stable one, in meV/atom: model 1 0; model 2 497.

---

Model 1:
First-principles (meta-GGA SCAN) data for a crystal of MoSe2Cl relaxed with PBEsol, as listed in Alexandria.

```
MoSe2Cl
1.0
3.345 0.000 0.000
0.000 3.345 0.000
0.000 0.000 7.087
Mo Se Cl
1 2 1
direct
0.500 0.500 0.807
0.500 0.500 0.165
0.000 0.000 0.965
0.000 0.000 0.563
```

Calculated values
The space group is No. 99. The density is 6.06 g cm⁻³.

---

Model 2:
First-principles (meta-GGA SCAN) data for a crystal of MoSe2Cl relaxed with PBEsol, as listed in Alexandria.

```
MoSe2Cl
1.0
3.300 0.000 0.000
-1.650 2.856 -0.092
0.000 -1.651 7.922
Se Mo Cl
2 1 1
direct
0.238 0.476 0.215
0.762 0.524 0.785
0.500 0.000 0.000
0.000 0.000 0.500
```

Calculated values
The space group is No. 166. The density is 6.48 g cm⁻³.

---

Model 3:
First-principles (meta-GGA SCAN) data for a crystal of MoSe2Cl relaxed with PBEsol, as listed in Alexandria.

```
MoSe2Cl
1.0
3.124 0.000 0.000
0.000 4.472 0.000
-1.562 -2.236 6.129
Mo Se Cl
1 2 1
direct
0.242 0.742 0.483
0.774 0.274 0.549
0.901 0.901 0.801
0.583 0.583 0.167
```

Calculated values
The space group is No. 44. The density is 5.61 g cm⁻³.

---

Each structure's energy above the most stable one, in meV/atom: model 1 433; model 2 0; model 3 192.

---

Model 1:
First-principles (meta-GGA SCAN) data for a crystal of TaMoCl2 relaxed with PBEsol, as listed in Alexandria.

```
TaMoCl2
1.0
-3.379 -0.946 -0.753
1.122 -3.288 -0.903
0.524 0.667 5.359
Cl Mo Ta
2 1 1
direct
0.750 0.250 0.500
0.000 0.000 0.000
0.500 0.500 0.000
0.250 0.750 0.500
```

Calculated values
The space group is No. 119. The density is 9.35 g cm⁻³.

---

Model 2:
First-principles (meta-GGA SCAN) data for a crystal of TaMoCl2 relaxed with PBEsol, as listed in Alexandria.

```
TaMoCl2
1.0
-1.681 2.407 0.135
-1.765 -1.340 1.930
4.601 2.866 6.199
Mo Cl Ta
1 2 1
direct
0.000 0.000 0.499
0.500 0.500 0.317
0.000 0.000 0.941
0.500 0.500 0.744
```

Calculated values
The space group is No. 99. The density is 8.12 g cm⁻³.

---

Each structure's energy above the most stable one, in meV/atom: model 1 1046; model 2 0.